The following is a DFT calculation (PBE) of a relaxed structure of Li2DyTeO4.

## Properties
DOS at the Fermi energy   3.4 states/eV/cell
Formation energy (no corrections)   -43.50 kcal/mol of atoms
Crystal system   tetragonal

Cell: 4.7042 4.7028 5.6953 Å, 114.39 114.39 90.00°
Fractional coordinates of all 8 atoms:
O1 0.9953 0.4953 0.9907
Li1 0.0000 0.0001 0.0001
Li2 0.2500 0.7500 0.5000
Dy1 0.5000 0.5000 0.9999
Te1 0.7500 0.2501 0.5000
O2 0.2541 0.2541 0.5083
O3 0.7459 0.7457 0.4917
O4 0.5046 0.0047 0.0093